An optimized crystal structure of KRe2Ir, computed with PBE.

Magnetic moment (μB per formula unit): 0.1
Calculated total energy (eV per cell): -58.34

CIF file:
```
data_KRe2Ir
_chemical_formula_sum 'K2 Re4 Ir2'
_cell_length_a 5.458
_cell_length_b 9.525
_cell_length_c 2.631
_cell_angle_alpha 90.00
_cell_angle_beta 90.00
_cell_angle_gamma 90.00
_symmetry_space_group_name_H-M 'C m m m'
_symmetry_Int_Tables_number 65
_symmetry_space_group_name_Hall '-C 2 2'
loop_
_atom_site_label
_atom_site_fract_x
_atom_site_fract_y
_atom_site_fract_z
_atom_site_occupancy
K1 0.000 0.000 0.000 1
Re1 0.250 0.250 0.500 1
Ir1 0.000 0.500 0.000 1
```

---

An optimized crystal structure of KReIr, computed with PBE.

Magnetic moment (μB per formula unit): 0.0
Calculated total energy (eV per cell): -19.92

CIF file:
```
data_KReIr
_chemical_formula_sum 'K1 Re1 Ir1'
_cell_length_a 2.8145
_cell_length_b 2.8145
_cell_length_c 8.1397
_cell_angle_alpha 90.00
_cell_angle_beta 90.00
_cell_angle_gamma 120.00
_symmetry_space_group_name_H-M 'P 3 m 1'
_symmetry_Int_Tables_number 156
loop_
_symmetry_equiv_pos_as_xyz
'x,y,z'
'-y,x-y,z'
'-x+y,-x,z'
'-y,-x,z'
'-x+y,y,z'
'x,x-y,z'
loop_
_atom_site_label
_atom_site_fract_x
_atom_site_fract_y
_atom_site_fract_z
_atom_site_occupancy
K1 0.0000 0.0000 0.0000 1
Re1 0.6667 0.3333 0.3805 1
Ir1 0.3333 0.6667 0.6375 1
```